An optimized crystal structure of LiCoSO, computed with PBE+U.

Values from the calculation:
Size of the total moment in μB per atom: 0.847
E above lowest polymorph in eV/atom: 0.0123

Lattice parameters (Å, degrees): 3.2624 6.4317 5.5781 90.00 90.00 90.00
Sites, in units of the cell vectors:
Co  0.5000  0.8839  0.0232
Co  0.5000  0.1161  0.5232
S  0.0000  0.3210  0.6625
S  0.0000  0.6790  0.1625
O  0.5000  0.8648  0.6886
O  0.5000  0.1352  0.1886
Li  0.0000  0.2932  0.1166
Li  0.0000  0.7068  0.6166